Compound: Tb7PmTm12
Source: Alexandria
Functional: PBE
Structure: relaxed

## Properties
- V (Å³/cell) = 690.1
- final energy (eV per atom) = -3.821
- SG = Im-3m (229)
- mass density (g cm⁻³) = 7.90
- M_tot (μB per cell) = 0.00
- E_form (eV per atom) = 0.72
- energy above the most stable polymorph in this dataset (eV/atom) = 0.411

Structure (POSCAR):
```
Tb7PmTm12
1.0
-5.567 5.567 5.567
5.567 -5.567 5.567
5.567 5.567 -5.567
Tb Pm Tm
7 1 12
Direct
0.000 0.000 0.500
0.000 0.500 0.000
0.000 0.500 0.500
0.500 0.000 0.000
0.500 0.000 0.500
0.500 0.500 0.000
0.500 0.500 0.500
0.000 0.000 0.000
0.000 0.253 0.747
0.000 0.747 0.253
0.253 0.000 0.747
0.253 0.253 0.506
0.253 0.506 0.253
0.253 0.747 0.000
0.494 0.747 0.747
0.506 0.253 0.253
0.747 0.000 0.253
0.747 0.253 0.000
0.747 0.494 0.747
0.747 0.747 0.494
```

---

Compound: TbTcC
Source: Alexandria
Functional: PBE
Structure: relaxed

## Properties
- V (Å³/cell) = 97.1
- final energy (eV per atom) = -8.249
- SG = Cm (8)
- mass density (g cm⁻³) = 9.20
- M_tot (μB per cell) = 0.00
- E_form (eV per atom) = -0.18
- energy above the most stable polymorph in this dataset (eV/atom) = 0.030

Structure (POSCAR):
```
TbTcC
1.0
6.062 0.000 0.000
0.000 3.499 0.000
-2.032 0.000 4.577
Tb Tc C
2 2 2
Direct
0.000 0.000 0.000
0.500 0.500 0.000
0.495 0.000 0.485
0.995 0.500 0.485
0.304 0.500 0.413
0.804 0.000 0.413
```

---

Compound: Sr8H2Ir
Source: Alexandria
Functional: PBE
Structure: relaxed

## Properties
- V (Å³/cell) = 433.7
- final energy (eV per atom) = -2.834
- SG = P-3m1 (164)
- mass density (g cm⁻³) = 3.43
- M_tot (μB per cell) = 0.00

Structure (POSCAR):
```
Sr8H2Ir
1.0
8.481 0.000 0.000
-4.240 7.344 0.000
0.000 0.000 6.964
Sr H Ir
8 2 1
Direct
0.167 0.335 0.265
0.167 0.833 0.265
0.333 0.667 0.810
0.335 0.167 0.735
0.665 0.833 0.265
0.667 0.333 0.190
0.833 0.167 0.735
0.833 0.665 0.735
0.333 0.667 0.162
0.667 0.333 0.838
0.000 0.000 0.500
```

---

Compound: BaSc2C
Source: Alexandria
Functional: PBE
Structure: relaxed

## Properties
- V (Å³/cell) = 293.6
- final energy (eV per atom) = -6.027
- SG = R-3m (166)
- mass density (g cm⁻³) = 4.06
- M_tot (μB per cell) = 0.00
- E_form (eV per atom) = -0.07

Structure (POSCAR):
```
BaSc2C
1.0
3.421 0.000 0.000
-1.711 2.963 0.000
0.000 0.000 28.968
Ba Sc C
3 6 3
Direct
0.000 0.000 0.000
0.333 0.667 0.667
0.667 0.333 0.333
0.000 0.000 0.125
0.000 0.000 0.875
0.333 0.667 0.542
0.333 0.667 0.792
0.667 0.333 0.208
0.667 0.333 0.458
0.000 0.000 0.500
0.333 0.667 0.167
0.667 0.333 0.833
```

---

Compound: Li2SnGeF
Source: Alexandria
Functional: PBE
Structure: relaxed

## Properties
- V (Å³/cell) = 125.5
- final energy (eV per atom) = -3.253
- SG = P4/mmm (123)
- mass density (g cm⁻³) = 2.97
- M_tot (μB per cell) = 0.00

Structure (POSCAR):
```
Li2SnGeF
1.0
4.950 0.000 0.000
0.000 4.950 0.000
0.000 0.000 5.122
Li Sn Ge F
2 1 1 1
Direct
0.000 0.500 0.000
0.500 0.000 0.000
0.000 0.000 0.500
0.000 0.000 0.000
0.500 0.500 0.500
```

---

Compound: EuPaPdAu
Source: Alexandria
Functional: PBE
Structure: relaxed

## Properties
- V (Å³/cell) = 376.4
- final energy (eV per atom) = -7.438
- SG = F-43m (216)
- mass density (g cm⁻³) = 12.11
- M_tot (μB per cell) = 32.06
- E_form (eV per atom) = -0.38

Structure (POSCAR):
```
EuPaPdAu
1.0
7.220 0.000 0.000
0.000 7.220 0.000
0.000 0.000 7.220
Eu Pa Pd Au
4 4 4 4
Direct
0.000 0.000 0.000
0.000 0.500 0.500
0.500 0.000 0.500
0.500 0.500 0.000
0.000 0.000 0.500
0.000 0.500 0.000
0.500 0.000 0.000
0.500 0.500 0.500
0.250 0.250 0.750
0.250 0.750 0.250
0.750 0.250 0.250
0.750 0.750 0.750
0.250 0.250 0.250
0.250 0.750 0.750
0.750 0.250 0.750
0.750 0.750 0.250
```

---

Compound: EuTmCdGa
Source: Alexandria
Functional: PBE
Structure: relaxed

## Properties
- V (Å³/cell) = 412.3
- final energy (eV per atom) = -5.060
- SG = F-43m (216)
- mass density (g cm⁻³) = 8.10
- M_tot (μB per cell) = 28.71
- E_form (eV per atom) = -0.39

Structure (POSCAR):
```
EuTmCdGa
1.0
7.443 0.000 0.000
0.000 7.443 0.000
0.000 0.000 7.443
Eu Tm Cd Ga
4 4 4 4
Direct
0.000 0.000 0.000
0.000 0.500 0.500
0.500 0.000 0.500
0.500 0.500 0.000
0.000 0.000 0.500
0.000 0.500 0.000
0.500 0.000 0.000
0.500 0.500 0.500
0.250 0.250 0.250
0.250 0.750 0.750
0.750 0.250 0.750
0.750 0.750 0.250
0.250 0.250 0.750
0.250 0.750 0.250
0.750 0.250 0.250
0.750 0.750 0.750
```

---

Compound: Zn2TcSnF
Source: Alexandria
Functional: PBE
Structure: relaxed

## Properties
- V (Å³/cell) = 142.7
- final energy (eV per atom) = -3.042
- SG = P4/mmm (123)
- mass density (g cm⁻³) = 4.26
- M_tot (μB per cell) = 4.19

Structure (POSCAR):
```
Zn2TcSnF
1.0
5.125 0.000 0.000
0.000 5.125 0.000
0.000 0.000 5.435
Zn Tc Sn F
2 1 1 1
Direct
0.000 0.500 0.000
0.500 0.000 0.000
0.000 0.000 0.500
0.000 0.000 0.000
0.500 0.500 0.500
```

---

Compound: CuAgHg
Source: Alexandria
Functional: PBE
Structure: relaxed

## Properties
- V (Å³/cell) = 53.0
- final energy (eV per atom) = -2.236
- SG = P3m1 (156)
- mass density (g cm⁻³) = 11.66
- M_tot (μB per cell) = 0.00
- E_form (eV per atom) = 0.18
- energy above the most stable polymorph in this dataset (eV/atom) = 0.052

Structure (POSCAR):
```
CuAgHg
1.0
4.563 0.000 0.000
-2.281 3.952 0.000
0.000 0.000 2.939
Cu Ag Hg
1 1 1
Direct
0.000 0.000 0.000
0.333 0.667 0.601
0.667 0.333 0.153
```

---

Compound: KCd2SnRu
Source: Alexandria
Functional: PBE
Structure: relaxed

## Properties
- V (Å³/cell) = 144.2
- final energy (eV per atom) = -3.276
- SG = P4/mmm (123)
- mass density (g cm⁻³) = 5.57
- M_tot (μB per cell) = 0.00
- E_form (eV per atom) = -0.03

Structure (POSCAR):
```
KCd2SnRu
1.0
5.339 0.000 0.000
0.000 5.339 0.000
0.000 0.000 5.057
K Cd Sn Ru
1 2 1 1
Direct
0.000 0.000 0.000
0.000 0.500 0.500
0.500 0.000 0.500
0.500 0.500 0.000
0.500 0.500 0.500
```

---

Compound: Yb2FeS4
Source: Alexandria
Functional: PBE
Structure: relaxed

## Properties
- V (Å³/cell) = 321.8
- final energy (eV per atom) = -5.267
- SG = Fd-3m (227)
- mass density (g cm⁻³) = 5.47
- M_tot (μB per cell) = 7.68

Structure (POSCAR):
```
Yb2FeS4
1.0
0.000 5.439 5.439
5.439 0.000 5.439
5.439 5.439 0.000
Yb Fe S
4 2 8
Direct
0.000 0.000 0.000
0.000 0.000 0.500
0.000 0.500 0.000
0.500 0.000 0.000
0.375 0.375 0.375
0.625 0.625 0.625
0.253 0.253 0.253
0.253 0.253 0.740
0.253 0.740 0.253
0.260 0.747 0.747
0.740 0.253 0.253
0.747 0.260 0.747
0.747 0.747 0.260
0.747 0.747 0.747
```

---

Compound: LiCoW3
Source: Alexandria
Functional: PBE
Structure: relaxed

## Properties
- V (Å³/cell) = 90.6
- final energy (eV per atom) = -8.085
- SG = Pm-3m (221)
- mass density (g cm⁻³) = 11.32
- M_tot (μB per cell) = 0.00
- E_form (eV per atom) = 1.49
- energy above the most stable polymorph in this dataset (eV/atom) = 0.000

Structure (POSCAR):
```
LiCoW3
1.0
4.491 0.000 0.000
0.000 4.491 0.000
0.000 0.000 4.491
Li Co W
1 1 3
Direct
0.000 0.000 0.000
0.500 0.500 0.500
0.000 0.500 0.500
0.500 0.000 0.500
0.500 0.500 0.000
```

---

Compound: CuTeBr
Source: Alexandria
Functional: PBE
Structure: relaxed

## Properties
- V (Å³/cell) = 164.2
- final energy (eV per atom) = -2.916
- SG = I4mm (107)
- mass density (g cm⁻³) = 5.48
- M_tot (μB per cell) = 0.00

Structure (POSCAR):
```
CuTeBr
1.0
3.713 0.000 0.000
0.000 3.713 0.000
0.000 0.000 11.910
Cu Te Br
2 2 2
Direct
0.000 0.000 0.000
0.500 0.500 0.500
0.000 0.000 0.444
0.500 0.500 0.944
0.000 0.000 0.203
0.500 0.500 0.703
```

---

Compound: TaRe2Ag
Source: Alexandria
Functional: PBE
Structure: relaxed

## Properties
- V (Å³/cell) = 131.6
- final energy (eV per atom) = -9.502
- SG = Immm (71)
- mass density (g cm⁻³) = 16.69
- M_tot (μB per cell) = 0.00
- E_form (eV per atom) = 0.40
- energy above the most stable polymorph in this dataset (eV/atom) = 0.164

Structure (POSCAR):
```
TaRe2Ag
1.0
3.174 0.000 0.000
0.000 4.518 0.000
0.000 0.000 9.176
Ta Re Ag
2 4 2
Direct
0.000 0.000 0.000
0.500 0.500 0.500
0.000 0.500 0.264
0.000 0.500 0.736
0.500 0.000 0.236
0.500 0.000 0.764
0.000 0.000 0.500
0.500 0.500 0.000
```

---

Compound: Pr6AlTl
Source: Alexandria
Functional: PBE
Structure: relaxed

## Properties
- V (Å³/cell) = 247.5
- final energy (eV per atom) = -4.536
- SG = P4/mmm (123)
- mass density (g cm⁻³) = 7.22
- M_tot (μB per cell) = 0.00
- E_form (eV per atom) = -0.19
- energy above the most stable polymorph in this dataset (eV/atom) = 0.000

Structure (POSCAR):
```
Pr6AlTl
1.0
4.981 0.000 0.000
0.000 4.981 0.000
0.000 0.000 9.975
Pr Al Tl
6 1 1
Direct
0.000 0.000 0.000
0.000 0.000 0.500
0.000 0.500 0.243
0.000 0.500 0.757
0.500 0.000 0.243
0.500 0.000 0.757
0.500 0.500 0.000
0.500 0.500 0.500
```

---

Compound: RuRhSe
Source: Alexandria
Functional: PBE
Structure: relaxed

## Properties
- V (Å³/cell) = 187.3
- final energy (eV per atom) = -6.204
- SG = Fmm2 (42)
- mass density (g cm⁻³) = 10.03
- M_tot (μB per cell) = 3.44
- energy above the most stable polymorph in this dataset (eV/atom) = 0.458

Structure (POSCAR):
```
RuRhSe
1.0
2.824 0.000 0.000
0.000 4.852 0.000
0.000 0.000 13.670
Ru Rh Se
4 4 4
Direct
0.000 0.000 0.000
0.000 0.500 0.500
0.500 0.000 0.500
0.500 0.500 0.000
0.000 0.000 0.661
0.000 0.500 0.161
0.500 0.000 0.161
0.500 0.500 0.661
0.000 0.000 0.335
0.000 0.500 0.835
0.500 0.000 0.835
0.500 0.500 0.335
```

---

Compound: Th4TcSe2
Source: Alexandria
Functional: PBE
Structure: relaxed

## Properties
- V (Å³/cell) = 393.7
- final energy (eV per atom) = -7.548
- SG = Cmcm (63)
- mass density (g cm⁻³) = 9.99
- M_tot (μB per cell) = 0.00

Structure (POSCAR):
```
Th4TcSe2
1.0
1.948 -6.814 0.000
1.948 6.814 0.000
0.000 0.000 14.829
Th Tc Se
8 2 4
Direct
0.000 0.000 0.000
0.000 0.000 0.500
0.307 0.693 0.628
0.307 0.693 0.872
0.448 0.552 0.250
0.552 0.448 0.750
0.693 0.307 0.128
0.693 0.307 0.372
0.097 0.903 0.250
0.903 0.097 0.750
0.352 0.648 0.070
0.352 0.648 0.430
0.648 0.352 0.570
0.648 0.352 0.930
```

---

Compound: MgTcIr
Source: Alexandria
Functional: PBE
Structure: relaxed

## Properties
- V (Å³/cell) = 186.1
- final energy (eV per atom) = -7.041
- SG = C2/m (12)
- mass density (g cm⁻³) = 11.23
- M_tot (μB per cell) = 0.00
- E_form (eV per atom) = -0.10
- energy above the most stable polymorph in this dataset (eV/atom) = 0.095

Structure (POSCAR):
```
MgTcIr
1.0
14.518 0.000 0.000
0.000 2.875 0.000
-1.053 0.000 4.458
Mg Tc Ir
4 4 4
Direct
0.088 0.000 0.219
0.412 0.500 0.781
0.588 0.500 0.219
0.912 0.000 0.781
0.231 0.000 0.755
0.269 0.500 0.245
0.731 0.500 0.755
0.769 0.000 0.245
0.080 0.500 0.718
0.420 0.000 0.282
0.580 0.000 0.718
0.920 0.500 0.282
```

---

Compound: NbInP3
Source: Alexandria
Functional: PBE
Structure: relaxed

## Properties
- V (Å³/cell) = 114.2
- final energy (eV per atom) = -4.282
- SG = Pm-3m (221)
- mass density (g cm⁻³) = 4.37
- M_tot (μB per cell) = 0.00
- E_form (eV per atom) = 1.53
- energy above the most stable polymorph in this dataset (eV/atom) = 1.278

Structure (POSCAR):
```
NbInP3
1.0
4.852 0.000 0.000
0.000 4.852 0.000
0.000 0.000 4.852
Nb In P
1 1 3
Direct
0.000 0.000 0.000
0.500 0.500 0.500
0.000 0.500 0.500
0.500 0.000 0.500
0.500 0.500 0.000
```

---

Compound: AcPa2P4
Source: Alexandria
Functional: PBE
Structure: relaxed

## Properties
- V (Å³/cell) = 359.3
- final energy (eV per atom) = -7.503
- SG = Cmcm (63)
- mass density (g cm⁻³) = 7.52
- M_tot (μB per cell) = 0.00
- E_form (eV per atom) = -1.11

Structure (POSCAR):
```
AcPa2P4
1.0
2.046 -6.642 0.000
2.046 6.642 0.000
0.000 0.000 13.220
Ac Pa P
2 4 8
Direct
0.111 0.889 0.750
0.889 0.111 0.250
0.370 0.630 0.561
0.370 0.630 0.939
0.630 0.370 0.061
0.630 0.370 0.439
0.000 0.000 0.000
0.000 0.000 0.500
0.263 0.737 0.116
0.263 0.737 0.384
0.442 0.558 0.750
0.558 0.442 0.250
0.737 0.263 0.616
0.737 0.263 0.884
```

---

Compound: Ba2MnTe
Source: Alexandria
Functional: PBE
Structure: relaxed

## Properties
- V (Å³/cell) = 163.2
- final energy (eV per atom) = -4.200
- SG = P4mm (99)
- mass density (g cm⁻³) = 4.65
- M_tot (μB per cell) = 4.58

Structure (POSCAR):
```
Ba2MnTe
1.0
4.121 0.000 0.000
0.000 4.121 0.000
0.000 0.000 9.613
Ba Mn Te
2 1 1
Direct
0.000 0.000 0.000
0.500 0.500 0.419
0.000 0.000 0.643
0.500 0.500 0.784
```

---

Compound: TbDy4Ho2Er2
Source: Alexandria
Functional: PBE
Structure: relaxed

## Properties
- V (Å³/cell) = 279.5
- final energy (eV per atom) = -4.590
- SG = C2/m (12)
- mass density (g cm⁻³) = 8.75
- M_tot (μB per cell) = 0.00
- E_form (eV per atom) = 0.00

Structure (POSCAR):
```
TbDy4Ho2Er2
1.0
9.238 -1.778 0.000
9.238 1.778 0.000
-4.103 0.000 8.507
Tb Dy Ho Er
1 4 2 2
Direct
0.000 0.000 0.000
0.185 0.185 0.334
0.482 0.482 0.666
0.518 0.518 0.334
0.815 0.815 0.666
0.148 0.148 0.667
0.852 0.852 0.333
0.333 0.333 0.000
0.667 0.667 0.000
```

---

Compound: Ac2La3Pr
Source: Alexandria
Functional: PBE
Structure: relaxed

## Properties
- V (Å³/cell) = 472.0
- final energy (eV per atom) = -4.612
- SG = P-1 (2)
- mass density (g cm⁻³) = 7.12
- M_tot (μB per cell) = 0.00
- E_form (eV per atom) = 0.02
- energy above the most stable polymorph in this dataset (eV/atom) = 0.000

Structure (POSCAR):
```
Ac2La3Pr
1.0
5.416 0.000 0.000
-2.691 8.092 0.000
-2.702 -2.716 10.768
Ac La Pr
4 6 2
Direct
0.160 0.452 0.369
0.169 0.205 0.632
0.831 0.795 0.368
0.840 0.548 0.631
0.163 0.709 0.118
0.171 0.961 0.881
0.496 0.371 0.119
0.504 0.629 0.881
0.829 0.039 0.119
0.837 0.291 0.882
0.497 0.122 0.371
0.503 0.878 0.629
```

---

Compound: TcTeI2Cl
Source: Alexandria
Functional: PBE
Structure: relaxed

## Properties
- V (Å³/cell) = 175.2
- final energy (eV per atom) = -2.447
- SG = P4/mmm (123)
- mass density (g cm⁻³) = 4.88
- M_tot (μB per cell) = 5.12
- energy above the most stable polymorph in this dataset (eV/atom) = 0.902

Structure (POSCAR):
```
TcTeI2Cl
1.0
5.475 0.000 0.000
0.000 5.475 0.000
0.000 0.000 5.846
Tc Te I Cl
1 1 2 1
Direct
0.000 0.000 0.000
0.500 0.500 0.000
0.000 0.500 0.500
0.500 0.000 0.500
0.500 0.500 0.500
```

---

Compound: SrNiH3
Source: Alexandria
Functional: PBE
Structure: relaxed

## Properties
- V (Å³/cell) = 49.6
- final energy (eV per atom) = -3.921
- SG = Pm-3m (221)
- mass density (g cm⁻³) = 5.00
- M_tot (μB per cell) = 0.00

Structure (POSCAR):
```
SrNiH3
1.0
3.675 0.000 0.000
0.000 3.675 0.000
0.000 0.000 3.675
Sr Ni H
1 1 3
Direct
0.000 0.000 0.000
0.500 0.500 0.500
0.000 0.500 0.500
0.500 0.000 0.500
0.500 0.500 0.000
```

---

Compound: Tm2MgCu2
Source: Alexandria
Functional: PBE
Structure: relaxed

## Properties
- V (Å³/cell) = 208.5
- final energy (eV per atom) = -4.007
- SG = P4/mbm (127)
- mass density (g cm⁻³) = 7.79
- M_tot (μB per cell) = 0.00
- E_form (eV per atom) = -0.26

Structure (POSCAR):
```
Tm2MgCu2
1.0
7.529 0.000 0.000
0.000 7.529 0.000
0.000 0.000 3.679
Tm Mg Cu
4 2 4
Direct
0.168 0.332 0.000
0.332 0.832 0.000
0.668 0.168 0.000
0.832 0.668 0.000
0.000 0.000 0.500
0.500 0.500 0.500
0.125 0.625 0.500
0.375 0.125 0.500
0.625 0.875 0.500
0.875 0.375 0.500
```